(1)
The following is a DFT calculation (PBE) of a relaxed structure of BiAuS2N.

a = 5.252 Å, b = 5.252 Å, c = 4.421 Å
α = 90.00°, β = 90.00°, γ = 90.00°
Fractional positions:
Bi (0.000, 0.000, 0.000)
Au (0.500, 0.500, 0.500)
S (0.000, 0.500, 0.000)
S (0.500, 0.000, 0.000)
N (0.000, 0.000, 0.500)

Values from the calculation:
- M_tot (μB per formula unit) = 2.048
- offset from the most stable computed form (eV/atom) = 0.4823
- uncorrected formation energy (eV per atom) = 1.319
- space-group type = P4/mmm, No. 123



(2)
The following is a DFT calculation (PBE) of a relaxed structure of TbSiHOs.

a = 4.090 Å, b = 4.090 Å, c = 7.182 Å
α = 90.00°, β = 90.00°, γ = 90.00°
Fractional positions:
Tb (0.250, 0.250, 0.158)
Tb (0.750, 0.750, 0.842)
Si (0.250, 0.250, 0.675)
Si (0.750, 0.750, 0.325)
H (0.250, 0.750, 0.000)
H (0.750, 0.250, 0.000)
Os (0.250, 0.750, 0.500)
Os (0.750, 0.250, 0.500)

Values from the calculation:
- M_tot (μB per formula unit) = 0.000
- space-group type = P4/nmm, No. 129
- E_tot (Ha/atom) = -0.251



(3)
The following is a DFT calculation (PBE) of a relaxed structure of Dy4GaGe.

a = 5.730 Å, b = 8.647 Å, c = 7.238 Å
α = 90.00°, β = 101.68°, γ = 90.00°
Fractional positions:
Dy (0.007, 0.058, 0.246)
Dy (0.007, 0.442, 0.246)
Dy (0.409, 0.750, 0.493)
Dy (0.439, 0.250, 0.981)
Dy (0.561, 0.750, 0.019)
Dy (0.591, 0.250, 0.507)
Dy (0.993, 0.558, 0.754)
Dy (0.993, 0.942, 0.754)
Ga (0.121, 0.250, 0.595)
Ga (0.879, 0.750, 0.405)
Ge (0.085, 0.750, 0.096)
Ge (0.915, 0.250, 0.904)

Values from the calculation:
- M_tot (μB per formula unit) = 0.000
- calculated formation energy (eV per atom) = -0.3073
- space-group type = P2_1/m, No. 11



(4)
The following is a DFT calculation (PBE) of a relaxed structure of LaThS2O.

a = 4.047 Å, b = 4.047 Å, c = 13.953 Å
α = 90.00°, β = 90.00°, γ = 90.00°
Fractional positions:
La (0.250, 0.250, 0.089)
La (0.750, 0.750, 0.911)
Th (0.250, 0.250, 0.612)
Th (0.750, 0.750, 0.388)
S (0.250, 0.250, 0.394)
S (0.250, 0.250, 0.800)
S (0.750, 0.750, 0.200)
S (0.750, 0.750, 0.606)
O (0.250, 0.750, 0.000)
O (0.750, 0.250, 0.000)

Values from the calculation:
- M_tot (μB per formula unit) = 0.000
- uncorrected formation energy (eV per atom) = -2.508
- space-group type = P4/nmm, No. 129



(5)
The following is a DFT calculation (PBE) of a relaxed structure of Mo3PtBr.

a = 4.888 Å, b = 4.888 Å, c = 4.888 Å
α = 90.00°, β = 90.00°, γ = 90.00°
Fractional positions:
Mo (0.000, 0.000, 0.500)
Mo (0.000, 0.500, 0.000)
Mo (0.500, 0.000, 0.000)
Pt (0.000, 0.000, 0.000)
Br (0.500, 0.500, 0.500)

Values from the calculation:
- M_tot (μB per formula unit) = 2.779
- offset from the most stable computed form (eV/atom) = 0.3232
- uncorrected formation energy (eV per atom) = 1.893
- space-group type = Pm-3m, No. 221



(6)
The following is a DFT calculation (PBE) of a relaxed structure of PmSm8Al2.

a = 8.125 Å, b = 8.125 Å, c = 5.665 Å
α = 97.35°, β = 97.35°, γ = 91.33°
Fractional positions:
Pm (0.000, 0.000, 0.000)
Sm (0.109, 0.623, 0.269)
Sm (0.265, 0.265, 0.136)
Sm (0.377, 0.891, 0.731)
Sm (0.413, 0.413, 0.705)
Sm (0.587, 0.587, 0.295)
Sm (0.623, 0.109, 0.269)
Sm (0.735, 0.735, 0.864)
Sm (0.891, 0.377, 0.731)
Al (0.120, 0.120, 0.538)
Al (0.880, 0.880, 0.462)

Values from the calculation:
- M_tot (μB per formula unit) = 0.000
- calculated formation energy (eV per atom) = 0.2424
- space-group type = C2/m, No. 12



(7)
The following is a DFT calculation (PBE) of a relaxed structure of Sb2AuO6.

a = 4.849 Å, b = 4.849 Å, c = 9.900 Å
α = 90.00°, β = 90.00°, γ = 90.00°
Fractional positions:
Sb (0.000, 0.000, 0.168)
Sb (0.000, 0.000, 0.832)
Sb (0.500, 0.500, 0.332)
Sb (0.500, 0.500, 0.668)
Au (0.000, 0.000, 0.500)
Au (0.500, 0.500, 0.000)
O (0.181, 0.181, 0.000)
O (0.205, 0.205, 0.317)
O (0.205, 0.205, 0.683)
O (0.295, 0.705, 0.183)
O (0.295, 0.705, 0.817)
O (0.319, 0.681, 0.500)
O (0.681, 0.319, 0.500)
O (0.705, 0.295, 0.183)
O (0.705, 0.295, 0.817)
O (0.795, 0.795, 0.317)
O (0.795, 0.795, 0.683)
O (0.819, 0.819, 0.000)

Values from the calculation:
- M_tot (μB per formula unit) = 0.341
- uncorrected formation energy (eV per atom) = -0.904
- space-group type = P4_2/mnm, No. 136



(8)
The following is a DFT calculation (PBE) of a relaxed structure of AcTlSnHg.

a = 5.607 Å, b = 5.607 Å, c = 5.607 Å
α = 60.00°, β = 60.00°, γ = 60.00°
Fractional positions:
Ac (0.000, 0.000, 0.000)
Tl (0.500, 0.500, 0.500)
Sn (0.250, 0.250, 0.250)
Hg (0.750, 0.750, 0.750)

Values from the calculation:
- M_tot (μB per formula unit) = 0.000
- offset from the most stable computed form (eV/atom) = 0.0819
- calculated formation energy (eV per atom) = -0.3279
- space-group type = F-43m, No. 216



(9)
The following is a DFT calculation (PBE) of a relaxed structure of LuTlCdAg.

a = 5.042 Å, b = 5.042 Å, c = 5.042 Å
α = 60.00°, β = 60.00°, γ = 60.00°
Fractional positions:
Lu (0.000, 0.000, 0.000)
Tl (0.250, 0.250, 0.250)
Cd (0.500, 0.500, 0.500)
Ag (0.750, 0.750, 0.750)

Values from the calculation:
- M_tot (μB per formula unit) = 0.000
- calculated formation energy (eV per atom) = -0.1598
- space-group type = F-43m, No. 216



(10)
The following is a DFT calculation (PBE) of a relaxed structure of PmNd2HoTe5.

a = 5.518 Å, b = 5.518 Å, c = 11.748 Å
α = 90.00°, β = 90.00°, γ = 90.00°
Fractional positions:
Pm (0.000, 0.000, 0.000)
Nd (0.500, 0.500, 0.341)
Nd (0.500, 0.500, 0.659)
Ho (0.000, 0.000, 0.500)
Te (0.000, 0.000, 0.249)
Te (0.000, 0.000, 0.751)
Te (0.000, 0.500, 0.500)
Te (0.500, 0.000, 0.500)
Te (0.500, 0.500, 0.000)

Values from the calculation:
- M_tot (μB per formula unit) = 0.574
- uncorrected formation energy (eV per atom) = -0.833
- space-group type = P4/mmm, No. 123



(11)
The following is a DFT calculation (PBE) of a relaxed structure of BaScMo2.

a = 4.947 Å, b = 4.947 Å, c = 4.947 Å
α = 60.00°, β = 60.00°, γ = 60.00°
Fractional positions:
Ba (0.000, 0.000, 0.000)
Sc (0.750, 0.750, 0.750)
Mo (0.250, 0.250, 0.250)
Mo (0.500, 0.500, 0.500)

Values from the calculation:
- M_tot (μB per formula unit) = 0.001
- offset from the most stable computed form (eV/atom) = 0.6365
- calculated formation energy (eV per atom) = 1.0219
- space-group type = F-43m, No. 216



(12)
The following is a DFT calculation (PBE) of a relaxed structure of Nd2SmTm.

a = 11.930 Å, b = 11.930 Å, c = 11.930 Å
α = 17.52°, β = 17.52°, γ = 17.52°
Fractional positions:
Nd (0.000, 0.000, 0.000)
Nd (0.169, 0.169, 0.169)
Sm (0.418, 0.418, 0.418)
Tm (0.585, 0.585, 0.585)

Values from the calculation:
- M_tot (μB per formula unit) = 0.000
- offset from the most stable computed form (eV/atom) = 0.0048
- calculated formation energy (eV per atom) = 0.0208
- space-group type = R3m, No. 160